(1)
Here is a geometry-optimized ScSiAu structure from the Open Quantum Materials Database. Energies are from PBE-GGA.

```
data_ScSiAu
_chemical_formula_sum 'Sc3 Si3 Au3'
_cell_length_a 6.760
_cell_length_b 6.760
_cell_length_c 4.011
_cell_angle_alpha 90.00
_cell_angle_beta 90.00
_cell_angle_gamma 120.00
_symmetry_space_group_name_H-M 'P 1'
_symmetry_Int_Tables_number 1
_symmetry_space_group_name_Hall 'P 1'
loop_
_atom_site_label
_atom_site_type_symbol
_atom_site_fract_x
_atom_site_fract_y
_atom_site_fract_z
Au1 Au 0.263 0.000 0.000
Au2 Au 0.000 0.263 0.000
Au3 Au 0.737 0.737 0.000
Sc1 Sc 0.584 0.000 0.500
Sc2 Sc 0.416 0.416 0.500
Sc3 Sc 0.000 0.584 0.500
Si1 Si 0.667 0.333 0.000
Si2 Si 0.333 0.667 0.000
Si3 Si 0.000 0.000 0.500
```

Output
Mass density   8.47 g cm⁻³
Electronic total energy   -51.862 eV per cell


(2)
Here is a geometry-optimized Sc2SiSnAu2 structure from the Open Quantum Materials Database. Energies are from PBE-GGA.

```
data_Sc2SiSnAu2
_chemical_formula_sum 'Sc8 Si4 Sn4 Au8'
_cell_length_a 11.003
_cell_length_b 4.497
_cell_length_c 11.005
_cell_angle_alpha 90.00
_cell_angle_beta 109.49
_cell_angle_gamma 90.00
_symmetry_space_group_name_H-M 'P 1'
_symmetry_Int_Tables_number 1
_symmetry_space_group_name_Hall 'P 1'
loop_
_atom_site_label
_atom_site_type_symbol
_atom_site_fract_x
_atom_site_fract_y
_atom_site_fract_z
Au1 Au 0.005 0.000 0.012
Au2 Au 0.371 0.500 0.131
Au3 Au 0.737 0.000 0.239
Au4 Au 0.129 0.500 0.371
Au5 Au 0.488 0.000 0.490
Au6 Au 0.875 0.500 0.626
Au7 Au 0.253 0.000 0.737
Au8 Au 0.639 0.500 0.888
Sc1 Sc 0.252 0.000 0.004
Sc2 Sc 0.618 0.500 0.125
Sc3 Sc 0.999 0.000 0.252
Sc4 Sc 0.370 0.500 0.372
Sc5 Sc 0.742 0.000 0.494
Sc6 Sc 0.127 0.500 0.618
Sc7 Sc 0.509 0.000 0.753
Sc8 Sc 0.884 0.500 0.887
Si1 Si 0.753 0.000 0.004
Si2 Si 0.126 0.500 0.128
Si3 Si 0.496 0.000 0.249
Si4 Si 0.249 0.000 0.496
Sn1 Sn 0.872 0.500 0.372
Sn2 Sn 0.624 0.500 0.626
Sn3 Sn 0.003 0.000 0.752
Sn4 Sn 0.377 0.500 0.874
```

Output
Mass density   8.16 g cm⁻³
Electronic total energy   -131.150 eV per cell


(3)
Here is a geometry-optimized TbScSi2Au2 structure from the Open Quantum Materials Database. Energies are from PBE-GGA.

```
data_TbScSi2Au2
_chemical_formula_sum 'Tb1 Sc1 Si2 Au2'
_cell_length_a 4.328
_cell_length_b 4.328
_cell_length_c 7.148
_cell_angle_alpha 90.00
_cell_angle_beta 90.00
_cell_angle_gamma 120.00
_symmetry_space_group_name_H-M 'P 1'
_symmetry_Int_Tables_number 1
_symmetry_space_group_name_Hall 'P 1'
loop_
_atom_site_label
_atom_site_type_symbol
_atom_site_fract_x
_atom_site_fract_y
_atom_site_fract_z
Au1 Au 0.667 0.333 0.308
Au2 Au 0.333 0.667 0.761
Sc1 Sc 0.000 0.000 0.501
Si1 Si 0.333 0.667 0.226
Si2 Si 0.667 0.333 0.701
Tb1 Tb 0.000 0.000 0.003
```

Output
Mass density   9.37 g cm⁻³
Electronic total energy   -33.038 eV per cell